[1]
## Lu4Hg2B (PBE)

Data for Lu4Hg2B after structural relaxation.

Properties
final energy = -53.57 eV/cell
E_form = -0.203 eV per atom

a = 4.8758 Å, b = 4.8758 Å, c = 14.7906 Å
α = 90.00°, β = 90.00°, γ = 90.00°
Element x y z (fractional)
Lu  0.0000  0.0000  0.1710
Lu  0.0000  0.0000  0.8290
Lu  0.0000  0.5000  0.0000
Lu  0.0000  0.5000  0.5000
Lu  0.5000  0.0000  0.0000
Lu  0.5000  0.0000  0.5000
Lu  0.5000  0.5000  0.3290
Lu  0.5000  0.5000  0.6710
Hg  0.0000  0.0000  0.3693
Hg  0.0000  0.0000  0.6307
Hg  0.5000  0.5000  0.1307
Hg  0.5000  0.5000  0.8693
B  0.0000  0.0000  0.0000
B  0.5000  0.5000  0.5000

=====

[2]
## MgTl7Hg12 (PBE)

Data for MgTl7Hg12 after structural relaxation.

Properties
final energy = -22.22 eV/cell
E_form = -0.022 eV per atom

a = 9.0518 Å, b = 9.0518 Å, c = 9.0518 Å
α = 110.04°, β = 110.04°, γ = 110.04°
Element x y z (fractional)
Mg  0.0000  0.0000  0.0000
Tl  0.0853  0.5892  0.8704
Tl  0.1296  0.9147  0.4108
Tl  0.4108  0.1296  0.9147
Tl  0.5000  0.5000  0.5000
Tl  0.5892  0.8704  0.0853
Tl  0.8704  0.0853  0.5892
Tl  0.9147  0.4108  0.1296
Hg  0.0436  0.2151  0.3516
Hg  0.2151  0.3516  0.0436
Hg  0.2338  0.6614  0.5934
Hg  0.3386  0.4066  0.7662
Hg  0.3516  0.0436  0.2151
Hg  0.4066  0.7662  0.3386
Hg  0.5934  0.2338  0.6614
Hg  0.6484  0.9564  0.7849
Hg  0.6614  0.5934  0.2338
Hg  0.7662  0.3386  0.4066
Hg  0.7849  0.6484  0.9564
Hg  0.9564  0.7849  0.6484

=====

[3]
## HfZr2Ti2Rh5 (PBE)

Data for HfZr2Ti2Rh5 after structural relaxation.

Properties
final energy = -172.15 eV/cell
E_form = -0.648 eV per atom

a = 9.5734 Å, b = 9.5734 Å, c = 3.7206 Å
α = 90.00°, β = 90.00°, γ = 90.00°
Element x y z (fractional)
Hf  0.0000  0.0000  0.0000
Hf  0.5000  0.5000  0.0000
Zr  0.1756  0.3244  0.0000
Zr  0.3244  0.8244  0.0000
Zr  0.6756  0.1756  0.0000
Zr  0.8244  0.6756  0.0000
Ti  0.1230  0.6230  0.0000
Ti  0.3770  0.1230  0.0000
Ti  0.6230  0.8770  0.0000
Ti  0.8770  0.3770  0.0000
Rh  0.0000  0.5000  0.5000
Rh  0.0646  0.7941  0.5000
Rh  0.2059  0.0646  0.5000
Rh  0.2941  0.5646  0.5000
Rh  0.4354  0.2941  0.5000
Rh  0.5000  0.0000  0.5000
Rh  0.5646  0.7059  0.5000
Rh  0.7059  0.4354  0.5000
Rh  0.7941  0.9354  0.5000
Rh  0.9354  0.2059  0.5000

=====

[4]
## K2ZrCu (PBE)

Data for K2ZrCu after structural relaxation.

Properties
final energy = -11.22 eV/cell
energy above the lowest structure with this stoichiometry = 0.497 eV per atom
E_form = 0.904 eV per atom

a = 3.5072 Å, b = 5.0689 Å, c = 6.3015 Å
α = 90.00°, β = 90.00°, γ = 90.00°
Element x y z (fractional)
K  0.0000  0.0000  0.0000
K  0.5000  0.5000  0.0000
Zr  0.0000  0.5000  0.5000
Cu  0.5000  0.0000  0.5000

=====

[5]
## GeRuS2 (PBE)

Data for GeRuS2 after structural relaxation.

Properties
final energy = -63.11 eV/cell

a = 3.3576 Å, b = 3.3576 Å, c = 22.1374 Å
α = 90.00°, β = 90.00°, γ = 120.00°
Element x y z (fractional)
Ge  0.0000  0.0000  0.0000
Ge  0.3333  0.6667  0.6667
Ge  0.6667  0.3333  0.3333
Ru  0.0000  0.0000  0.5000
Ru  0.3333  0.6667  0.1667
Ru  0.6667  0.3333  0.8333
S  0.0000  0.0000  0.3996
S  0.0000  0.0000  0.6004
S  0.3333  0.6667  0.0662
S  0.3333  0.6667  0.2671
S  0.6667  0.3333  0.7329
S  0.6667  0.3333  0.9338

=====

[6]
## CuNi8Pd2 (PBE)

Data for CuNi8Pd2 after structural relaxation.

Properties
final energy = -60.33 eV/cell
E_form = 0.037 eV per atom

a = 4.4366 Å, b = 5.7129 Å, c = 5.7344 Å
α = 107.52°, β = 97.25°, γ = 104.84°
Element x y z (fractional)
Cu  0.0000  0.0000  0.0000
Ni  0.0853  0.3568  0.8099
Ni  0.1812  0.7352  0.6374
Ni  0.2685  0.0798  0.4567
Ni  0.4497  0.8289  0.0948
Ni  0.5503  0.1711  0.9052
Ni  0.7315  0.9202  0.5433
Ni  0.8188  0.2648  0.3626
Ni  0.9147  0.6432  0.1901
Pd  0.3632  0.4538  0.2640
Pd  0.6368  0.5462  0.7360